Entry 1:
Below is TbCo5As3 after structural relaxation, with properties calculated at the PBE level.

## Properties
As for the space-group type: Pnma (62). The total moment is 6.7 μB per cell. The final energy is -6.529 eV/atom.

Cell: 12.153 3.781 10.680 Å, 90.00 90.00 90.00°
Element x y z (fractional)
Tb (0.201, 0.250, 0.083)
Tb (0.299, 0.750, 0.583)
Tb (0.701, 0.250, 0.417)
Tb (0.799, 0.750, 0.917)
Co (0.010, 0.750, 0.712)
Co (0.012, 0.750, 0.093)
Co (0.068, 0.750, 0.470)
Co (0.178, 0.250, 0.785)
Co (0.196, 0.250, 0.384)
Co (0.304, 0.750, 0.884)
Co (0.322, 0.750, 0.285)
Co (0.432, 0.250, 0.970)
Co (0.488, 0.250, 0.593)
Co (0.490, 0.250, 0.212)
Co (0.510, 0.750, 0.788)
Co (0.512, 0.750, 0.407)
Co (0.568, 0.750, 0.030)
Co (0.678, 0.250, 0.715)
Co (0.696, 0.250, 0.116)
Co (0.804, 0.750, 0.616)
Co (0.822, 0.750, 0.215)
Co (0.932, 0.250, 0.530)
Co (0.988, 0.250, 0.907)
Co (0.990, 0.250, 0.288)
As (0.110, 0.750, 0.899)
As (0.114, 0.250, 0.586)
As (0.129, 0.750, 0.270)
As (0.371, 0.250, 0.770)
As (0.386, 0.750, 0.086)
As (0.390, 0.250, 0.399)
As (0.610, 0.750, 0.601)
As (0.614, 0.250, 0.914)
As (0.629, 0.750, 0.230)
As (0.871, 0.250, 0.730)
As (0.886, 0.750, 0.414)
As (0.890, 0.250, 0.101)



Entry 2:
Below is ZrCoTcAs after structural relaxation, with properties calculated at the PBE level.

## Properties
As for the space-group type: F-43m (216). The total moment is 1.0 μB per cell. The final energy is -7.851 eV/atom.

Cell: 4.405 4.405 4.405 Å, 60.00 60.00 60.00°
Element x y z (fractional)
Zr (0.000, 0.000, 0.000)
Co (0.750, 0.750, 0.750)
Tc (0.250, 0.250, 0.250)
As (0.500, 0.500, 0.500)



Entry 3:
Below is ZrCoTcAs after structural relaxation, with properties calculated at the PBE level.

## Properties
As for the space-group type: F-43m (216). The total moment is 3.1 μB per cell. The final energy is -7.526 eV/atom.

Cell: 4.483 4.483 4.483 Å, 60.00 60.00 60.00°
Element x y z (fractional)
Zr (0.000, 0.000, 0.000)
Co (0.500, 0.500, 0.500)
Tc (0.750, 0.750, 0.750)
As (0.250, 0.250, 0.250)



Entry 4:
Below is ThCo2As2 after structural relaxation, with properties calculated at the PBE level.

## Properties
As for the space-group type: P4/nmm (129). The total moment is 1.3 μB per cell. The final energy is -6.988 eV/atom.

Cell: 4.181 4.181 9.356 Å, 90.00 90.00 90.00°
Element x y z (fractional)
Th (0.250, 0.250, 0.246)
Th (0.750, 0.750, 0.754)
Co (0.250, 0.250, 0.615)
Co (0.250, 0.750, 0.000)
Co (0.750, 0.250, 0.000)
Co (0.750, 0.750, 0.385)
As (0.250, 0.250, 0.868)
As (0.250, 0.750, 0.500)
As (0.750, 0.250, 0.500)
As (0.750, 0.750, 0.132)



Q: Which of these has the highest final energy?
A: TbCo5As3